(1)
# ReCF2

An optimized crystal structure of ReCF2 (PBE-GGA, the Alexandria database).

Results
- raw total energy (eV per atom) = -5.760
- formation energy from raw total energies (eV/atom) = 0.594
- calculated density (g/cm3) = 7.278
- total magnetic moment (μB per formula unit) = 0.29

The structure in POSCAR format:
```
ReCF2
1.0
1.327 0.766 8.831
-1.327 0.766 8.831
0.000 -1.533 8.831
Re C F
1 1 2
direct
0.000 0.000 0.000 Re
0.500 0.500 0.500 C
0.072 0.072 0.072 F
0.928 0.928 0.928 F
```

---

(2)
# SrCo2Cl

An optimized crystal structure of SrCo2Cl (PBE-GGA, the Alexandria database).

Results
- raw total energy (eV per atom) = -4.088
- formation energy from raw total energies (eV/atom) = 0.347
- calculated density (g/cm3) = 3.970
- total magnetic moment (μB per formula unit) = 3.15

The structure in POSCAR format:
```
SrCo2Cl
1.0
4.175 0.000 0.000
0.000 4.193 0.000
0.000 0.000 5.757
Sr Co Cl
1 2 1
direct
0.000 0.000 0.000 Sr
0.500 0.500 0.182 Co
0.500 0.500 0.818 Co
0.000 0.000 0.500 Cl
```

---

(3)
# CdSnSbI2

An optimized crystal structure of CdSnSbI2 (PBE-GGA, the Alexandria database).

Results
- raw total energy (eV per atom) = -2.195
- formation energy from raw total energies (eV/atom) = 0.233
- calculated density (g/cm3) = 4.561
- total magnetic moment (μB per formula unit) = 1.82

The structure in POSCAR format:
```
CdSnSbI2
1.0
6.068 0.000 0.000
0.000 6.068 0.000
0.000 0.000 5.999
Cd Sn Sb I
1 1 1 2
direct
0.000 0.000 0.000 Cd
0.500 0.500 0.500 Sn
0.500 0.500 0.000 Sb
0.000 0.500 0.500 I
0.500 0.000 0.500 I
```

---

(4)
# KY2Mn

An optimized crystal structure of KY2Mn (PBE-GGA, the Alexandria database).

Results
- raw total energy (eV per atom) = -5.323
- calculated density (g/cm3) = 3.264
- total magnetic moment (μB per formula unit) = 2.05
- energy of formation from the pure elements (eV per formula unit) = 1.90

The structure in POSCAR format:
```
KY2Mn
1.0
-1.751 1.817 10.865
1.751 -1.817 10.865
1.751 1.817 -10.865
K Y Mn
1 2 1
direct
0.000 0.000 0.000 K
0.661 0.661 0.000 Y
0.824 0.324 0.500 Y
0.257 0.757 0.500 Mn
```

---

(5)
# KTaCl2

An optimized crystal structure of KTaCl2 (PBE-GGA, the Alexandria database).

Results
- raw total energy (eV per atom) = -4.081
- formation energy from raw total energies (eV/atom) = 0.080
- calculated density (g/cm3) = 4.081
- total magnetic moment (μB per formula unit) = 3.50

The structure in POSCAR format:
```
KTaCl2
1.0
-1.985 1.985 7.509
1.985 -1.985 7.509
1.985 1.985 -7.509
K Ta Cl
1 1 2
direct
0.000 0.000 0.000 K
0.250 0.750 0.500 Ta
0.500 0.500 0.000 Cl
0.750 0.250 0.500 Cl
```

---

(6)
# MgIn3Pb

An optimized crystal structure of MgIn3Pb (PBE-GGA, the Alexandria database).

Results
- raw total energy (eV per atom) = -2.593
- calculated density (g/cm3) = 6.616
- total magnetic moment (μB per formula unit) = 0.00
- energy of formation from the pure elements (eV per formula unit) = 0.55

The structure in POSCAR format:
```
MgIn3Pb
1.0
7.170 0.000 0.000
-3.585 6.210 0.000
0.000 0.000 3.247
Mg In Pb
1 3 1
direct
0.000 0.000 0.000 Mg
0.388 0.194 0.500 In
0.806 0.194 0.500 In
0.806 0.612 0.500 In
0.333 0.667 0.000 Pb
```

---

(7)
# K4Pu3ScO12

An optimized crystal structure of K4Pu3ScO12 (PBE-GGA, the Alexandria database).

Results
- raw total energy (eV per atom) = -8.222
- formation energy from raw total energies (eV/atom) = -2.562
- calculated density (g/cm3) = 6.200
- total magnetic moment (μB per formula unit) = 7.00

The structure in POSCAR format:
```
K4Pu3ScO12
1.0
-4.224 4.224 4.224
4.224 -4.224 4.224
4.224 4.224 -4.224
K Pu Sc O
4 3 1 12
direct
0.000 0.000 0.500 K
0.000 0.500 0.000 K
0.500 0.000 0.000 K
0.500 0.500 0.500 K
0.000 0.500 0.500 Pu
0.500 0.000 0.500 Pu
0.500 0.500 0.000 Pu
0.000 0.000 0.000 Sc
0.000 0.258 0.258 O
0.000 0.742 0.742 O
0.250 0.500 0.750 O
0.250 0.750 0.500 O
0.258 0.000 0.258 O
0.258 0.258 0.000 O
0.500 0.250 0.750 O
0.500 0.750 0.250 O
0.742 0.000 0.742 O
0.742 0.742 0.000 O
0.750 0.250 0.500 O
0.750 0.500 0.250 O
```

---

(8)
# Rb2SbIr3O12

An optimized crystal structure of Rb2SbIr3O12 (PBE-GGA, the Alexandria database).

Results
- raw total energy (eV per atom) = -6.120
- formation energy from raw total energies (eV/atom) = -1.001
- calculated density (g/cm3) = 6.535
- total magnetic moment (μB per formula unit) = 2.05

The structure in POSCAR format:
```
Rb2SbIr3O12
1.0
3.617 2.088 5.950
-3.617 2.088 5.950
0.000 -4.177 5.950
Rb Sb Ir O
2 1 3 12
direct
0.123 0.123 0.123 Rb
0.877 0.877 0.877 Rb
0.500 0.500 0.500 Sb
0.000 0.500 0.500 Ir
0.500 0.000 0.500 Ir
0.500 0.500 0.000 Ir
0.166 0.580 0.580 O
0.187 0.187 0.577 O
0.187 0.577 0.187 O
0.420 0.420 0.834 O
0.420 0.834 0.420 O
0.423 0.813 0.813 O
0.577 0.187 0.187 O
0.580 0.166 0.580 O
0.580 0.580 0.166 O
0.813 0.423 0.813 O
0.813 0.813 0.423 O
0.834 0.420 0.420 O
```

---

> The highest raw total energy belongs to which entry?

CdSnSbI2

---

> calculated density of number 2 (SrCo2Cl)?

3.970 g/cm3

---

> Look up the total magnetic moment of the first one.

0.29 μB per formula unit